Density functional theory data (SCAN) for TlFe2Os at its PBEsol-relaxed geometry.

The structure in POSCAR format:
```
TlFe2Os
1.0
3.1162 0.0000 0.0000
0.0000 4.4290 0.0000
0.0000 0.0000 8.5849
Tl Fe Os
2 4 2
direct
0.0000 0.0000 0.0000 Tl
0.5000 0.5000 0.5000 Tl
0.0000 0.5000 0.2368 Fe
0.0000 0.5000 0.7632 Fe
0.5000 0.0000 0.2632 Fe
0.5000 0.0000 0.7368 Fe
0.0000 0.0000 0.5000 Os
0.5000 0.5000 0.0000 Os
```

Properties
For the formation energy, the calculation gives 0.6037 eV per atom. As for the space group: Immm (71). The calculation puts the density of states at the Fermi level at 2.71 states/eV/f.u. As for the total magnetization: 6.292 μB/f.u.

Density functional theory data (SCAN) for K3LiHf at its PBEsol-relaxed geometry.

The structure in POSCAR format:
```
K3LiHf
1.0
6.7498 0.0000 0.0000
0.0000 6.7498 0.0000
0.0000 0.0000 6.7498
K Li Hf
3 1 1
direct
0.0000 0.0000 0.5000 K
0.0000 0.5000 0.0000 K
0.5000 0.0000 0.0000 K
0.5000 0.5000 0.5000 Li
0.0000 0.0000 0.0000 Hf
```

Properties
For the formation energy, the calculation gives 1.1965 eV per atom. As for the space group: Pm-3m (221). The calculation puts the density of states at the Fermi level at 2.92 states/eV/f.u. As for the total magnetization: 4.009 μB/f.u.